## AcPuCuOs (PBE)

Data for AcPuCuOs after structural relaxation.

Electronic total energy ... -8.284 eV per atom
Fermi-level density of states ... 50.26 states/eV per cell

Cell: 7.1600 7.1600 7.1600 Å, 90.00 90.00 90.00°
Closest atoms and distances in Å follow each position.
Space group F-43m (No. 216)
Unique sites:
1 Ac 0.0000 0.0000 0.0000 x4  4 Cu 3.10, 4 Os 3.10
2 Pu 0.0000 0.0000 0.5000 x4  4 Os 3.10, 4 Cu 3.10
3 Cu 0.2500 0.2500 0.2500 x4  4 Ac 3.10, 4 Pu 3.10
4 Os 0.2500 0.2500 0.7500 x4  4 Ac 3.10, 4 Pu 3.10